First-principles (PBE) data for Dy2Hf3Si4 after structural relaxation, as listed in Alexandria via LeMat-Bulk.

Summary:
As for the mass density: 9.13 g cm⁻³. The value obtained for the total magnetization is 0.0000 μB/atom. The formation energy from raw total energies is -833 meV per atom.

Cell: 7.2709 7.2682 7.0621 Å, 90.00 108.52 90.00°
Closest atoms and distances in Å follow each position.
Fractional coordinates of all 18 atoms:
Dy1 0.1904 0.1709 0.0709  6 Si 2.88-3.09
Dy2 0.1904 0.3291 0.5709  6 Si 2.88-3.09
Dy3 0.8096 0.6709 0.4291  6 Si 2.88-3.09
Dy4 0.8096 0.8291 0.9291  6 Si 2.88-3.09
Hf1 0.2523 0.6795 0.2490  6 Si 2.69-2.79
Hf2 0.2523 0.8205 0.7490  6 Si 2.69-2.79
Hf3 0.5000 0.0000 0.5000  6 Si 2.78-2.89
Hf4 0.5000 0.5000 0.0000  6 Si 2.78-2.89
Hf5 0.7477 0.1795 0.2510  6 Si 2.69-2.79
Hf6 0.7477 0.3205 0.7510  6 Si 2.69-2.79
Si1 0.0820 0.5329 0.8684  1 Si 2.55, 3 Hf 2.70-2.79
Si2 0.0820 0.9671 0.3684  1 Si 2.55, 3 Hf 2.70-2.79
Si3 0.4910 0.1243 0.8699  1 Si 2.55, 4 Hf 2.69-2.78
Si4 0.4910 0.3757 0.3699  1 Si 2.55, 4 Hf 2.69-2.78
Si5 0.5090 0.6243 0.6301  1 Si 2.55, 4 Hf 2.69-2.78
Si6 0.5090 0.8757 0.1301  1 Si 2.55, 4 Hf 2.69-2.78
Si7 0.9180 0.0329 0.6316  1 Si 2.55, 3 Hf 2.70-2.79
Si8 0.9180 0.4671 0.1316  1 Si 2.55, 3 Hf 2.70-2.79

First-principles (PBE) data for SrCaP2S after structural relaxation, as listed in Alexandria via LeMat-Bulk.

Summary:
The value obtained for the distance to the lowest polymorph of the same formula is 0 meV per atom. As for the mass density: 2.61 g cm⁻³. The value obtained for the total magnetization is 0.0000 μB/atom. The formation energy from raw total energies is -190 meV per atom.

Cell: 5.1946 5.1946 5.2177 Å, 90.00 90.00 90.00°
Closest atoms and distances in Å follow each position.
Fractional coordinates of all 5 atoms:
Sr1 0.0000 0.0000 0.0000  4 S 3.67, 8 P 3.68
Ca1 0.5000 0.5000 0.5000  4 P 2.60, 2 S 2.61
P1 0.0000 0.5000 0.5000  2 Ca 2.60
P2 0.5000 0.0000 0.5000  2 Ca 2.60
S1 0.5000 0.5000 0.0000  2 Ca 2.61

First-principles (PBE) data for Mg6In12Ag after structural relaxation, as listed in Alexandria via LeMat-Bulk.

Summary:
As for the mass density: 5.75 g cm⁻³. The value obtained for the total magnetization is 0.0000 μB/atom. Its total energy is -45.716 eV for the cell shown.

Cell: 7.7983 7.7983 7.7983 Å, 86.39 86.39 86.39°
Closest atoms and distances in Å follow each position.
Fractional coordinates of all 19 atoms:
Mg1 0.2314 0.7674 0.3932  1 Ag 2.98, 6 In 3.06-3.30, 2 Mg 3.11
Mg2 0.2326 0.6068 0.7686  1 Ag 2.98, 6 In 3.06-3.30, 2 Mg 3.11
Mg3 0.3932 0.2314 0.7674  1 Ag 2.98, 6 In 3.06-3.30, 2 Mg 3.11
Mg4 0.6068 0.7686 0.2326  1 Ag 2.98, 6 In 3.06-3.30, 2 Mg 3.11
Mg5 0.7674 0.3932 0.2314  1 Ag 2.98, 6 In 3.06-3.30, 2 Mg 3.11
Mg6 0.7686 0.2326 0.6068  1 Ag 2.98, 6 In 3.06-3.30, 2 Mg 3.11
In1 0.0350 0.2966 0.9430  3 Mg 3.06-3.14, 6 In 3.27-3.39
In2 0.0570 0.9650 0.7034  3 Mg 3.06-3.14, 6 In 3.27-3.39
In3 0.1337 0.3473 0.4764  5 In 3.09-3.44, 4 Mg 3.13-3.42, 1 Ag 3.18
In4 0.2966 0.9430 0.0350  3 Mg 3.06-3.14, 6 In 3.27-3.39
In5 0.3473 0.4764 0.1337  5 In 3.09-3.44, 4 Mg 3.13-3.42, 1 Ag 3.18
In6 0.4764 0.1337 0.3473  5 In 3.09-3.44, 4 Mg 3.13-3.42, 1 Ag 3.18
In7 0.5236 0.8663 0.6527  5 In 3.09-3.44, 4 Mg 3.13-3.42, 1 Ag 3.18
In8 0.6527 0.5236 0.8663  5 In 3.09-3.44, 4 Mg 3.13-3.42, 1 Ag 3.18
In9 0.7034 0.0570 0.9650  3 Mg 3.06-3.14, 6 In 3.27-3.39
In10 0.8663 0.6527 0.5236  5 In 3.09-3.44, 4 Mg 3.13-3.42, 1 Ag 3.18
In11 0.9430 0.0350 0.2966  3 Mg 3.06-3.14, 6 In 3.27-3.39
In12 0.9650 0.7034 0.0570  3 Mg 3.06-3.14, 6 In 3.27-3.39
Ag1 0.5000 0.5000 0.5000  6 Mg 2.98, 6 In 3.18

First-principles (PBE) data for BaAgHgF6 after structural relaxation, as listed in Alexandria via LeMat-Bulk.

Summary:
As for the mass density: 5.26 g cm⁻³. The value obtained for the total magnetization is 0.1101 μB/atom. The formation energy from raw total energies is -2114 meV per atom.

Cell: 5.7046 5.7215 5.9719 Å, 91.84 114.66 92.45°
Closest atoms and distances in Å follow each position.
Fractional coordinates of all 9 atoms:
Ba1 0.0000 0.0000 0.0000  6 F 2.61-2.68
Ag1 0.6763 0.5073 0.3221  4 F 2.13-2.16
Hg1 0.3303 0.5046 0.6776  6 F 2.22-2.47
F1 0.0063 0.7126 0.3429  1 Ag 2.13
F2 0.0129 0.2502 0.6464  1 Hg 2.22
F3 0.3570 0.3031 0.3305  1 Ag 2.14
F4 0.3850 0.7758 0.9810  1 Hg 2.26
F5 0.6644 0.3061 0.0086  1 Ag 2.14
F6 0.6731 0.7064 0.6334  1 Ag 2.16, 1 Hg 2.34

First-principles (PBE) data for CaTc2Se after structural relaxation, as listed in Alexandria via LeMat-Bulk.

Summary:
As for the mass density: 6.84 g cm⁻³. The value obtained for the total magnetization is 0.0000 μB/atom. The formation energy from raw total energies is 276 meV per atom.

Cell: 6.0307 6.0248 3.7592 Å, 71.92 71.75 36.34°
Closest atoms and distances in Å follow each position.
Fractional coordinates of all 4 atoms:
Ca1 0.0000 0.0000 0.0000  4 Se 2.65-2.66
Tc1 0.0000 0.5000 0.5000  4 Tc 2.65-2.66
Tc2 0.5000 0.0000 0.0000  4 Tc 2.65-2.66
Se1 0.5000 0.5000 0.5000  4 Ca 2.65-2.66

First-principles (PBE) data for TaBe3Te after structural relaxation, as listed in Alexandria via LeMat-Bulk.

Summary:
The value obtained for the distance to the lowest polymorph of the same formula is 268 meV per atom. As for the mass density: 6.20 g cm⁻³. The value obtained for the total magnetization is 0.0000 μB/atom. The formation energy from raw total energies is 1737 meV per atom.

Cell: 4.4787 4.4787 4.4787 Å, 90.00 90.00 90.00°
Closest atoms and distances in Å follow each position.
Fractional coordinates of all 5 atoms:
Ta1 0.0000 0.0000 0.0000  12 Be 3.17
Be1 0.0000 0.5000 0.5000  2 Te 2.24
Be2 0.5000 0.0000 0.5000  2 Te 2.24
Be3 0.5000 0.5000 0.0000  2 Te 2.24
Te1 0.5000 0.5000 0.5000  6 Be 2.24

First-principles (PBE) data for NdHo3Ir8 after structural relaxation, as listed in Alexandria via LeMat-Bulk.

Summary:
The value obtained for the distance to the lowest polymorph of the same formula is 4 meV per atom. As for the mass density: 16.53 g cm⁻³. The value obtained for the total magnetization is 0.0000 μB/atom.

Cell: 5.3759 5.3759 8.7382 Å, 90.00 90.00 120.00°
Closest atoms and distances in Å follow each position.
Fractional coordinates of all 12 atoms:
Nd1 0.0000 0.0000 0.0000  12 Ir 3.14-3.18, 4 Ho 3.20-3.33
Ho1 0.0000 0.0000 0.3664  12 Ir 3.12-3.16, 1 Nd 3.20, 3 Ho 3.31
Ho2 0.6667 0.3333 0.4989  12 Ir 3.12-3.16, 4 Ho 3.18-3.31
Ho3 0.6667 0.3333 0.8632  12 Ir 3.13-3.20, 1 Ho 3.18, 3 Nd 3.33
Ir1 0.1637 0.3274 0.6801  6 Ir 2.64-2.74
Ir2 0.1637 0.8363 0.6801  6 Ir 2.64-2.74
Ir3 0.3333 0.6667 0.4320  6 Ir 2.68
Ir4 0.3333 0.6667 0.9315  6 Ir 2.71-2.72
Ir5 0.5033 0.0065 0.1849  6 Ir 2.64-2.74
Ir6 0.5033 0.4967 0.1849  6 Ir 2.64-2.74
Ir7 0.6726 0.8363 0.6801  6 Ir 2.64-2.74
Ir8 0.9935 0.4967 0.1849  6 Ir 2.64-2.74

First-principles (PBE) data for CrCd2Cl after structural relaxation, as listed in Alexandria via LeMat-Bulk.

Summary:
The value obtained for the distance to the lowest polymorph of the same formula is 111 meV per atom. As for the mass density: 5.82 g cm⁻³. The value obtained for the total magnetization is 1.0422 μB/atom. The formation energy from raw total energies is 83 meV per atom.

Cell: 3.2862 4.6302 6.0775 Å, 90.00 105.64 90.00°
Closest atoms and distances in Å follow each position.
Fractional coordinates of all 4 atoms:
Cr1 0.0000 0.0000 0.0000  2 Cl 2.39
Cd1 0.2723 0.0000 0.5454  6 Cd 3.05-3.29, 3 Cr 3.13-3.19
Cd2 0.6766 0.5000 0.3539  6 Cd 3.05-3.29, 3 Cl 3.12-3.19
Cl1 0.9477 0.5000 0.8996  2 Cr 2.39

First-principles (PBE) data for KZnCd4Ag2 after structural relaxation, as listed in Alexandria via LeMat-Bulk.

Summary:
As for the mass density: 6.34 g cm⁻³. The value obtained for the total magnetization is 0.0000 μB/atom. Its total energy is -11.477 eV for the cell shown.

Cell: 10.7420 10.7420 10.7420 Å, 25.47 25.47 25.47°
Closest atoms and distances in Å follow each position.
Fractional coordinates of all 8 atoms:
K1 0.0000 0.0000 0.0000  6 Cd 3.59
Zn1 0.5000 0.5000 0.5000  8 Cd 2.86-2.91
Cd1 0.1343 0.1343 0.1343  3 Zn 2.91, 4 Ag 2.94-3.10
Cd2 0.4081 0.4081 0.4081  3 Ag 2.84, 1 Zn 2.86
Cd3 0.5919 0.5919 0.5919  3 Ag 2.84, 1 Zn 2.86
Cd4 0.8657 0.8657 0.8657  3 Zn 2.91, 4 Ag 2.94-3.10
Ag1 0.2339 0.2339 0.2339  7 Cd 2.84-3.10
Ag2 0.7661 0.7661 0.7661  7 Cd 2.84-3.10

First-principles (PBE) data for Mg2ZrHPb after structural relaxation, as listed in Alexandria via LeMat-Bulk.

Summary:
As for the mass density: 6.46 g cm⁻³. The value obtained for the total magnetization is 0.0000 μB/atom. Its total energy is -19.315 eV for the cell shown.

Cell: 4.5552 4.5552 4.3133 Å, 90.00 90.00 90.00°
Closest atoms and distances in Å follow each position.
Fractional coordinates of all 5 atoms:
Mg1 0.0000 0.5000 0.0000  2 H 2.28
Mg2 0.5000 0.0000 0.0000  2 H 2.28
Zr1 0.0000 0.0000 0.5000  2 H 2.16
H1 0.0000 0.0000 0.0000  2 Zr 2.16, 4 Mg 2.28
Pb1 0.5000 0.5000 0.5000  8 Mg 3.14, 4 Zr 3.22

First-principles (PBE) data for Ce4Sm3Ge4 after structural relaxation, as listed in Alexandria via LeMat-Bulk.

Summary:
As for the mass density: 7.38 g cm⁻³. The value obtained for the total magnetization is 0.0002 μB/atom. Its total energy is -61.896 eV for the cell shown.

Cell: 9.2619 9.2619 9.2619 Å, 155.24 117.32 68.47°
Closest atoms and distances in Å follow each position.
Fractional coordinates of all 11 atoms:
Ce1 0.0254 0.8090 0.2164  2 Ce 2.76, 4 Ge 2.93-2.98
Ce2 0.4073 0.1910 0.2164  2 Ce 2.76, 4 Ge 2.93-2.98
Ce3 0.5927 0.8090 0.7836  2 Ce 2.76, 4 Ge 2.93-2.98
Ce4 0.9746 0.1910 0.7836  2 Ce 2.76, 4 Ge 2.93-2.98
Sm1 0.0000 0.5000 0.5000  6 Ge 3.33-3.67
Sm2 0.3969 0.3969 0.0000  6 Ge 3.12-3.32, 1 Sm 3.16
Sm3 0.6031 0.6031 0.0000  6 Ge 3.12-3.32, 1 Sm 3.16
Ge1 0.2394 0.7394 0.5000  6 Ce 2.93-2.97, 2 Sm 3.12
Ge2 0.2774 0.0000 0.2774  2 Ce 2.98, 6 Sm 3.32-3.33
Ge3 0.7226 0.0000 0.7226  2 Ce 2.98, 6 Sm 3.32-3.33
Ge4 0.7606 0.2606 0.5000  6 Ce 2.93-2.97, 2 Sm 3.12

First-principles (PBE) data for Y2ZnGeBr after structural relaxation, as listed in Alexandria via LeMat-Bulk.

Summary:
As for the mass density: 4.60 g cm⁻³. The value obtained for the total magnetization is 0.0000 μB/atom. The formation energy from raw total energies is -231 meV per atom.

Cell: 5.5764 5.5764 4.5910 Å, 90.00 90.00 90.00°
Closest atoms and distances in Å follow each position.
Fractional coordinates of all 5 atoms:
Y1 0.0000 0.5000 0.0000  2 Ge 2.79
Y2 0.5000 0.0000 0.0000  2 Ge 2.79
Zn1 0.0000 0.0000 0.5000  2 Ge 2.30
Ge1 0.0000 0.0000 0.0000  2 Zn 2.30
Br1 0.5000 0.5000 0.5000  8 Y 3.61, 4 Zn 3.94